Material: HfTePbO6
Method: DFT, PBE-GGA
State: relaxed

Unit cell a=5.4566 b=5.4566 c=10.7347 alpha=90.00 beta=90.00 gamma=120.00
With the nearest neighbours (Å) after each atom.
Positions (direct):
Hf 0.3333 0.6667 0.2500  6 O 2.10
Hf 0.6667 0.3333 0.7500  6 O 2.10
Te 0.3333 0.6667 0.7500  6 O 1.96
Te 0.6667 0.3333 0.2500  6 O 1.96
Pb 0.0000 0.0000 0.0000  6 O 2.61
Pb 0.0000 0.0000 0.5000  6 O 2.61
O 0.0188 0.3898 0.6473  1 Te 1.96, 1 Hf 2.10
O 0.0188 0.6290 0.8527  1 Te 1.96, 1 Hf 2.10
O 0.3710 0.3898 0.8527  1 Te 1.96, 1 Hf 2.10
O 0.3710 0.9812 0.6473  1 Te 1.96, 1 Hf 2.10
O 0.3898 0.0188 0.1473  1 Te 1.96, 1 Hf 2.10
O 0.3898 0.3710 0.3527  1 Te 1.96, 1 Hf 2.10
O 0.6102 0.6290 0.6473  1 Te 1.96, 1 Hf 2.10
O 0.6102 0.9812 0.8527  1 Te 1.96, 1 Hf 2.10
O 0.6290 0.0188 0.3527  1 Te 1.96, 1 Hf 2.10
O 0.6290 0.6102 0.1473  1 Te 1.96, 1 Hf 2.10
O 0.9812 0.3710 0.1473  1 Te 1.96, 1 Hf 2.10
O 0.9812 0.6102 0.3527  1 Te 1.96, 1 Hf 2.10

Its formation energy from raw total energies is -1.90 eV/atom. Its density of states at the Fermi level is 0.000 states/eV per atom. The space-group type is P-31c. The value obtained for the total energy is -63.69 eV per formula unit.

=====

Material: Hf3TePb4O13
Method: DFT, PBE-GGA
State: relaxed

Unit cell a=7.6242 b=7.6242 c=7.6242 alpha=60.02 beta=60.02 gamma=60.02
With the nearest neighbours (Å) after each atom.
Positions (direct):
Hf 0.1673 0.1673 0.6655  6 O 2.07-2.13
Hf 0.1673 0.6655 0.1673  6 O 2.07-2.13
Hf 0.6655 0.1673 0.1673  6 O 2.07-2.13
Te 0.1669 0.1669 0.1669  6 O 1.94-1.95
Pb 0.1655 0.6681 0.6681  2 O 2.32-2.59
Pb 0.6650 0.6650 0.6650  1 O 2.37
Pb 0.6681 0.1655 0.6681  2 O 2.32-2.59
Pb 0.6681 0.6681 0.1655  2 O 2.32-2.59
O 0.1021 0.1021 0.4692  1 Te 1.94, 1 Hf 2.11
O 0.1021 0.4692 0.1021  1 Te 1.94, 1 Hf 2.11
O 0.1021 0.4914 0.4914  2 Hf 2.07
O 0.2328 0.2328 0.8631  1 Te 1.95, 1 Hf 2.13
O 0.2328 0.8631 0.2328  1 Te 1.95, 1 Hf 2.13
O 0.2358 0.8378 0.8378  2 Hf 2.09
O 0.4692 0.1021 0.1021  1 Te 1.94, 1 Hf 2.11
O 0.4914 0.1021 0.4914  2 Hf 2.07
O 0.4914 0.4914 0.1021  2 Hf 2.07
O 0.5378 0.5378 0.5378  4 Pb 2.32-2.37
O 0.8378 0.2358 0.8378  2 Hf 2.09
O 0.8378 0.8378 0.2358  2 Hf 2.09
O 0.8631 0.2328 0.2328  1 Te 1.95, 1 Hf 2.13

Its formation energy from raw total energies is -2.19 eV/atom. The space-group type is R3m. The value obtained for the total energy is -158.30 eV per formula unit.

=====

Material: Hf4TiPb5O15
Method: DFT, PBE-GGA
State: relaxed

Unit cell a=5.8856 b=10.0884 c=13.0458 alpha=75.13 beta=77.60 gamma=73.45
With the nearest neighbours (Å) after each atom.
Positions (direct):
Hf 0.0000 0.0000 0.0000  5 O 2.01-2.13
Hf 0.0009 0.5005 0.5005  5 O 2.01-2.13
Hf 0.1972 0.4024 0.1982  6 O 2.04-2.15
Hf 0.1989 0.9027 0.6974  6 O 2.04-2.15
Hf 0.5964 0.7029 0.0986  6 O 2.03-2.21
Hf 0.5971 0.2031 0.5982  6 O 2.03-2.22
Hf 0.7962 0.1032 0.2982  6 O 2.02-2.22
Hf 0.7977 0.6032 0.7987  6 O 2.02-2.23
Ti 0.4107 0.3010 0.8959  3 O 1.89-1.91
Ti 0.4118 0.8010 0.3953  3 O 1.89-1.90
Pb 0.0512 0.2468 0.7471  5 O 2.50-2.71
Pb 0.0508 0.7459 0.2470  4 O 2.52-2.63
Pb 0.2435 0.1353 0.4356  4 O 2.49-2.67
Pb 0.2453 0.6372 0.9353  5 O 2.50-2.78
Pb 0.4400 0.0555 0.1330  5 O 2.51-2.78
Pb 0.4422 0.5546 0.6334  5 O 2.52-2.76
Pb 0.6451 0.4534 0.3373  5 O 2.51-2.74
Pb 0.6452 0.9545 0.8375  5 O 2.49-2.73
Pb 0.8608 0.3470 0.0313  3 O 2.46-2.48
Pb 0.8616 0.8472 0.5318  3 O 2.47-2.49
O 0.0531 0.9750 0.8453  2 Hf 2.04-2.15
O 0.0676 0.4371 0.3584  2 Hf 2.04-2.15
O 0.0719 0.4381 0.8525  1 Hf 2.06, 1 Ti 2.17
O 0.0823 0.9603 0.3622  1 Hf 2.05, 1 Ti 2.18
O 0.1608 0.6687 0.4419  1 Hf 2.07, 1 Ti 2.16
O 0.1796 0.1580 0.9629  1 Hf 2.06, 1 Ti 2.16
O 0.2622 0.3697 0.0441  1 Hf 2.06, 1 Ti 2.14
O 0.2650 0.8392 0.0558  2 Hf 2.01-2.13
O 0.2727 0.8393 0.5536  1 Hf 2.06, 1 Ti 2.14
O 0.2775 0.3650 0.5685  2 Hf 2.01-2.14
O 0.3584 0.0677 0.6482  2 Hf 2.04-2.12
O 0.3812 0.5549 0.1726  2 Hf 2.04-2.14
O 0.4579 0.2323 0.2556  2 Hf 2.05-2.14
O 0.4601 0.7722 0.2530  1 Ti 1.90
O 0.4708 0.2378 0.7647  1 Ti 1.91
O 0.4722 0.7563 0.7676  2 Hf 2.05-2.13
O 0.5534 0.4574 0.8459  1 Ti 1.90
O 0.5746 0.9471 0.3677  1 Ti 1.90
O 0.6573 0.6475 0.4484  1 Ti 1.89
O 0.6580 0.1682 0.4471  2 Hf 2.03-2.13
O 0.6646 0.1677 0.9599  1 Ti 1.89
O 0.6693 0.6318 0.9600  2 Hf 2.03-2.14
O 0.7498 0.8708 0.0404  2 Hf 2.04-2.13
O 0.7718 0.3612 0.5660  2 Hf 2.05-2.12
O 0.8527 0.5755 0.6449  2 Hf 2.04-2.13
O 0.8606 0.0403 0.1556  2 Hf 2.04-2.12
O 0.8679 0.0404 0.6531  2 Hf 2.04-2.14
O 0.8789 0.5644 0.1664  2 Hf 2.04-2.14
O 0.9524 0.2674 0.2437  2 Hf 2.02-2.15
O 0.9790 0.7547 0.7681  2 Hf 2.02-2.15

Its formation energy from raw total energies is -2.51 eV/atom. The value obtained for the polymorph energy (0 for the lowest one) is 0.00 eV per formula unit. Its density of states at the Fermi level is 0.000 states/eV per atom. The space-group type is P1. The value obtained for the total energy is -203.45 eV per formula unit.

=====

Material: HfTiPb2O6
Method: DFT, PBE-GGA
State: relaxed

Unit cell a=5.7739 b=8.0901 c=5.7905 alpha=90.00 beta=90.00 gamma=90.00
With the nearest neighbours (Å) after each atom.
Positions (direct):
Hf 0.2500 0.2500 0.2370  6 O 2.08-2.10
Hf 0.7500 0.7500 0.7630  6 O 2.08-2.10
Ti 0.2500 0.7500 0.2341  6 O 1.90-2.11
Ti 0.7500 0.2500 0.7659  6 O 1.90-2.11
Pb 0.2500 0.5075 0.7069  3 O 2.53-2.67
Pb 0.2500 0.9925 0.7069  3 O 2.53-2.67
Pb 0.7500 0.0075 0.2931  3 O 2.53-2.67
Pb 0.7500 0.4925 0.2931  3 O 2.53-2.67
O 0.0065 0.7500 0.0144  1 Ti 1.90, 1 Hf 2.08
O 0.0092 0.7500 0.5084  1 Hf 2.10, 1 Ti 2.11
O 0.2500 0.5065 0.2704  1 Ti 1.98, 1 Hf 2.08
O 0.2500 0.9935 0.2704  1 Ti 1.98, 1 Hf 2.08
O 0.4908 0.7500 0.5084  1 Hf 2.10, 1 Ti 2.11
O 0.4935 0.7500 0.0144  1 Ti 1.90, 1 Hf 2.08
O 0.5065 0.2500 0.9856  1 Ti 1.90, 1 Hf 2.08
O 0.5092 0.2500 0.4916  1 Hf 2.10, 1 Ti 2.11
O 0.7500 0.0065 0.7296  1 Ti 1.98, 1 Hf 2.08
O 0.7500 0.4935 0.7296  1 Ti 1.98, 1 Hf 2.08
O 0.9908 0.2500 0.4916  1 Hf 2.10, 1 Ti 2.11
O 0.9935 0.2500 0.9856  1 Ti 1.90, 1 Hf 2.08

Its formation energy from raw total energies is -2.41 eV/atom. The value obtained for the polymorph energy (0 for the lowest one) is 0.11 eV per formula unit. Its density of states at the Fermi level is 0.000 states/eV per atom. The space-group type is Pmmn. The value obtained for the total energy is -79.12 eV per formula unit.

=====

Material: HfTi4Pb5O15
Method: DFT, PBE-GGA
State: relaxed

Unit cell a=3.9118 b=19.4490 c=4.6398 alpha=90.00 beta=90.00 gamma=90.00
With the nearest neighbours (Å) after each atom.
Positions (direct):
Hf 0.0000 0.0000 0.0000  5 O 1.94-2.10
Ti 0.0000 0.2037 0.0026  1 O 1.75
Ti 0.0000 0.4013 0.0028  1 O 1.75
Ti 0.0000 0.5987 0.0028  1 O 1.75
Ti 0.0000 0.7963 0.0026  1 O 1.75
Pb 0.5000 0.1041 0.5551  4 O 2.51-2.53
Pb 0.5000 0.3024 0.5594  4 O 2.49-2.50
Pb 0.5000 0.5000 0.5586  4 O 2.49-2.50
Pb 0.5000 0.6976 0.5594  4 O 2.49-2.50
Pb 0.5000 0.8959 0.5551  4 O 2.51-2.53
O 0.0000 0.0000 0.4181  1 Hf 1.94
O 0.0000 0.1052 0.8988  1 Ti 1.98, 1 Hf 2.10
O 0.0000 0.2031 0.3804  1 Ti 1.75
O 0.0000 0.3025 0.8938  2 Ti 1.99
O 0.0000 0.4013 0.3801  1 Ti 1.75
O 0.0000 0.5000 0.8938  2 Ti 1.99
O 0.0000 0.5987 0.3801  1 Ti 1.75
O 0.0000 0.6975 0.8938  2 Ti 1.99
O 0.0000 0.7969 0.3804  1 Ti 1.75
O 0.0000 0.8948 0.8988  1 Ti 1.98, 1 Hf 2.10
O 0.5000 0.0000 0.8837  2 Hf 2.03
O 0.5000 0.2035 0.8989  2 Ti 2.01
O 0.5000 0.4012 0.9001  2 Ti 2.01
O 0.5000 0.5988 0.9001  2 Ti 2.01
O 0.5000 0.7965 0.8989  2 Ti 2.01

Its formation energy from raw total energies is -2.36 eV/atom. Its density of states at the Fermi level is 0.000 states/eV per atom. The space-group type is Pmm2. The value obtained for the total energy is -193.34 eV per formula unit.

=====

Material: HfTiPb2O6
Method: DFT, PBE-GGA
State: relaxed

Unit cell a=5.8328 b=5.8328 c=5.8328 alpha=121.39 beta=121.39 gamma=87.61
With the nearest neighbours (Å) after each atom.
Positions (direct):
Hf 0.0000 0.0000 0.0000  5 O 1.95-2.09
Ti 0.4991 0.4991 0.0000  5 O 1.83-1.99
Pb 0.2759 0.7759 0.5000  6 O 2.57-2.88
Pb 0.7759 0.2759 0.5000  6 O 2.57-2.88
O 0.2208 0.2208 0.5115  1 Ti 1.99, 1 Hf 2.09
O 0.2208 0.7094 0.0000  1 Ti 1.99, 1 Hf 2.09
O 0.2313 0.2313 0.0000  1 Hf 1.95
O 0.7094 0.2208 0.0000  1 Ti 1.99, 1 Hf 2.09
O 0.7094 0.7094 0.4885  1 Ti 1.99, 1 Hf 2.09
O 0.7170 0.7170 0.0000  1 Ti 1.83

Its formation energy from raw total energies is -2.42 eV/atom. The value obtained for the polymorph energy (0 for the lowest one) is 0.00 eV per formula unit. Its density of states at the Fermi level is 0.000 states/eV per atom. The space-group type is I4mm. The value obtained for the total energy is -79.23 eV per formula unit.

=====

Material: HfTi4Pb5O15
Method: DFT, PBE-GGA
State: relaxed

Unit cell a=6.0745 b=6.0745 c=11.9583 alpha=96.89 beta=96.89 gamma=53.94
With the nearest neighbours (Å) after each atom.
Positions (direct):
Hf 0.0000 0.0000 0.0000  5 O 1.92-2.08
Ti 0.2014 0.2014 0.5986  1 O 1.74
Ti 0.3919 0.3919 0.2005  1 O 1.76
Ti 0.6056 0.6056 0.7980  1 O 1.77
Ti 0.7993 0.7993 0.4022  1 O 1.75
Pb 0.1210 0.1210 0.3106  5 O 2.49-2.78
Pb 0.3214 0.3214 0.9110  4 O 2.49-2.53
Pb 0.5234 0.5234 0.5102  4 O 2.48-2.51
Pb 0.7178 0.7178 0.1165  4 O 2.48-2.53
Pb 0.9260 0.9260 0.7065  5 O 2.49-2.78
O 0.0521 0.5573 0.2816  2 Ti 1.99-2.00
O 0.1579 0.6476 0.0804  1 Ti 1.99, 1 Hf 2.07
O 0.1627 0.1627 0.0863  1 Hf 1.92
O 0.2682 0.7532 0.8747  1 Ti 1.98, 1 Hf 2.08
O 0.3521 0.3521 0.6717  1 Ti 1.74
O 0.3603 0.8605 0.6783  2 Ti 1.99-2.01
O 0.4572 0.9560 0.4789  2 Ti 2.00
O 0.5437 0.5437 0.2745  1 Ti 1.76
O 0.5573 0.0521 0.2816  2 Ti 1.99-2.00
O 0.6476 0.1579 0.0804  1 Ti 1.99, 1 Hf 2.07
O 0.7532 0.2682 0.8747  1 Ti 1.98, 1 Hf 2.08
O 0.7570 0.7570 0.8746  1 Ti 1.77
O 0.8605 0.3603 0.6783  2 Ti 1.99-2.01
O 0.9496 0.9496 0.4782  1 Ti 1.75
O 0.9560 0.4572 0.4789  2 Ti 2.00

Its formation energy from raw total energies is -2.35 eV/atom. Its density of states at the Fermi level is 0.000 states/eV per atom. The space-group type is Cm. The value obtained for the total energy is -193.32 eV per formula unit.

=====

Material: Hf4TiPb5O15
Method: DFT, PBE-GGA
State: relaxed

Unit cell a=7.7216 b=8.3485 c=9.6715 alpha=65.58 beta=79.39 gamma=85.33
With the nearest neighbours (Å) after each atom.
Positions (direct):
Hf 0.0000 0.0000 0.0000  4 O 1.93-2.07
Hf 0.1226 0.7450 0.7322  3 O 1.92-2.02
Hf 0.4742 0.7018 0.5321  5 O 1.96-2.11
Hf 0.7588 0.3912 0.3970  3 O 1.91-2.00
Ti 0.9215 0.5707 0.0631  4 O 1.78-1.92
Pb 0.1816 0.0802 0.3297  2 O 2.19-2.43
Pb 0.2049 0.3390 0.5753  3 O 2.23-2.34
Pb 0.5111 0.8537 0.1052  3 O 2.20-2.46
Pb 0.6910 0.9301 0.6735  3 O 2.19-2.43
Pb 0.7736 0.4014 0.7675  3 O 2.30-2.45
O 0.0064 0.9287 0.5817  1 Hf 1.92
O 0.0628 0.7791 0.9532  1 Ti 1.92, 1 Hf 2.07
O 0.0709 0.2100 0.8187  1 Hf 1.93
O 0.1090 0.9836 0.1698  1 Hf 1.93
O 0.2257 0.5855 0.6277  2 Hf 2.02-2.09
O 0.3646 0.8351 0.6720  2 Hf 1.97-2.11
O 0.4443 0.8809 0.3281  1 Hf 1.96
O 0.5479 0.4829 0.4974  2 Hf 2.00-2.01
O 0.6825 0.1573 0.4545  1 Hf 1.91
O 0.6968 0.6947 0.6140  1 Hf 2.01
O 0.7118 0.5979 0.1747  1 Ti 1.83
O 0.7465 0.0198 0.0292  1 Hf 1.93
O 0.9138 0.3937 0.5386  1 Hf 1.99
O 0.9318 0.5449 0.8823  1 Ti 1.83
O 0.9924 0.3953 0.2241  1 Ti 1.78

Its formation energy from raw total energies is -2.34 eV/atom. The value obtained for the polymorph energy (0 for the lowest one) is 4.29 eV per formula unit. Its density of states at the Fermi level is 0.000 states/eV per atom. The space-group type is P1. The value obtained for the total energy is -199.16 eV per formula unit.